Entry 1:
# AcBiBr

A relaxed structure of AcBiBr (PBE, the Alexandria database).

Summary:
The space group is P3m1. The spin magnetization comes out at 0.00 μB/f.u. As for the crystal system: trigonal. The uncorrected formation energy comes out at -0.8966 eV per atom. For the final energy, the calculation gives -4.117 eV per atom.

Cell lengths 4.469, 4.469, 7.814 Å; angles 90.00, 90.00, 120.00 degrees
Atoms (fractional coordinates):
Ac  0.667  0.333  0.351
Bi  0.000  0.000  0.059
Br  0.333  0.667  0.590


Entry 2:
# RbNbTc2Hg

A relaxed structure of RbNbTc2Hg (PBE, the Alexandria database).

Summary:
The space group is P4/mmm. The spin magnetization comes out at 1.56 μB/f.u. The energy relative to the elements is 14.597 eV per formula unit. As for the crystal system: tetragonal. For the final energy, the calculation gives -3.495 eV per atom.

Cell lengths 4.714, 4.808, 4.714 Å; angles 90.00, 90.00, 90.00 degrees
Last column: magnetic moment on the atom in μB.
Atoms (fractional coordinates):
Rb  0.000  0.000  0.000  0.01
Tc  0.500  0.000  0.000  0.91
Hg  0.500  0.500  0.500  -0.01
Nb  0.000  0.500  0.000  -0.36
Tc  0.000  0.000  0.500  0.93


Entry 3:
# CaTaMo2

A relaxed structure of CaTaMo2 (PBE, the Alexandria database).

Summary:
The space group is Pm. The spin magnetization comes out at 0.00 μB/f.u. The energy relative to the elements is 2.067 eV per formula unit. As for the crystal system: monoclinic. For the final energy, the calculation gives -8.362 eV per atom.

Cell lengths 4.348, 2.962, 6.491 Å; angles 78.52, 90.00, 90.00 degrees
Atoms (fractional coordinates):
Ta  0.000  0.508  0.433
Mo  0.500  0.229  0.243
Ca  0.500  0.762  0.759
Mo  0.000  0.000  0.065


Entry 4:
# BaGa2IrRh

A relaxed structure of BaGa2IrRh (PBE, the Alexandria database).

Summary:
The space group is I-4m2. The spin magnetization comes out at 0.00 μB/f.u. The energy relative to the elements is -2.808 eV per formula unit. As for the crystal system: tetragonal. For the final energy, the calculation gives -5.399 eV per atom.

Cell lengths 4.446, 4.446, 6.199 Å; angles 111.02, 111.02, 90.00 degrees
Atoms (fractional coordinates):
Ga  0.358  0.358  0.716
Rh  0.750  0.250  0.500
Ga  0.642  0.642  0.284
Ba  0.000  0.000  0.000
Ir  0.250  0.750  0.500